# PBE BaZrMo2, optimized geometry
data_BaZrMo2
_cell_length_a 10.0316
_cell_length_b 3.4113
_cell_length_c 6.3644
_cell_angle_alpha 90.00
_cell_angle_beta 105.31
_cell_angle_gamma 90.00
_space_group_name_H-M_alt 'C 1 m 1'
_space_group_IT_number 8
loop_
_space_group_symop_operation_xyz
'x,y,z'
'x,-y,z'
'x+1/2,y+1/2,z'
'x+1/2,-y+1/2,z'
loop_
_atom_site_label
_atom_site_type_symbol
_atom_site_fract_x
_atom_site_fract_y
_atom_site_fract_z
Ba1 Ba 0.0000 0.0000 0.0000
Zr1 Zr 0.1999 0.0000 0.6322
Mo1 Mo 0.2891 0.5000 0.3493
Mo2 Mo 0.4664 0.0000 0.4809
# * formation energy from the elements: 723 meV/atom
# * density of states at the Fermi level: 8.11 states/eV/cell
# * E above lowest polymorph: 6.297 kcal/mol of atoms